First-principles (SCAN) data for a PBEsol-optimized structure of Sc2AsRh, as listed in Alexandria via LeMat-Bulk.

CIF file:
```
data_Sc2AsRh
_cell_length_a 3.2579
_cell_length_b 3.2579
_cell_length_c 25.0882
_cell_angle_alpha 90.00
_cell_angle_beta 90.00
_cell_angle_gamma 120.00
_space_group_name_H-M_alt 'R 3 m'
_space_group_IT_number 160
_space_group_name_Hall 'R 3 -2"'
loop_
_atom_site_label
_atom_site_fract_x
_atom_site_fract_y
_atom_site_fract_z
Sc1 0.0000 0.0000 0.0000
Sc2 0.0000 0.0000 0.2319
As1 0.0000 0.0000 0.4805
Rh1 0.0000 0.0000 0.7544
```

Computed properties:
Formation energy from the elements, eV/atom: -0.377

***

First-principles (SCAN) data for a PBEsol-optimized structure of ScAsRh2, as listed in Alexandria via LeMat-Bulk.

CIF file:
```
data_ScAsRh2
_cell_length_a 3.236
_cell_length_b 3.236
_cell_length_c 5.834
_cell_angle_alpha 90.00
_cell_angle_beta 90.00
_cell_angle_gamma 90.00
_space_group_name_H-M_alt 'P 4/m m m'
_space_group_IT_number 123
_space_group_name_Hall '-P 4 2'
loop_
_atom_site_label
_atom_site_fract_x
_atom_site_fract_y
_atom_site_fract_z
Sc1 0.000 0.000 0.000
As1 0.000 0.000 0.500
Rh1 0.500 0.500 0.260
```

Computed properties:
Formation energy from the elements, eV/atom: -0.754

***

First-principles (SCAN) data for a PBEsol-optimized structure of ScAsRh2, as listed in Alexandria via LeMat-Bulk.

CIF file:
```
data_ScAsRh2
_cell_length_a 3.004
_cell_length_b 3.884
_cell_length_c 5.569
_cell_angle_alpha 90.00
_cell_angle_beta 90.47
_cell_angle_gamma 90.00
_space_group_name_H-M_alt 'P 1 2/m 1'
_space_group_IT_number 10
loop_
_space_group_symop_operation_xyz
'x,y,z'
'-x,-y,-z'
'-x,y,-z'
'x,-y,z'
loop_
_atom_site_label
_atom_site_fract_x
_atom_site_fract_y
_atom_site_fract_z
Sc1 0.000 0.000 0.000
As1 0.500 0.000 0.500
Rh1 0.498 0.500 0.755
```

Computed properties:
Formation energy from the elements, eV/atom: -0.718

***

First-principles (SCAN) data for a PBEsol-optimized structure of ScAs2Rh, as listed in Alexandria via LeMat-Bulk.

CIF file:
```
data_ScAs2Rh
_cell_length_a 3.867
_cell_length_b 3.597
_cell_length_c 5.236
_cell_angle_alpha 90.00
_cell_angle_beta 111.05
_cell_angle_gamma 90.00
_space_group_name_H-M_alt 'P 1 2/m 1'
_space_group_IT_number 10
loop_
_space_group_symop_operation_xyz
'x,y,z'
'-x,-y,-z'
'-x,y,-z'
'x,-y,z'
loop_
_atom_site_label
_atom_site_fract_x
_atom_site_fract_y
_atom_site_fract_z
Sc1 0.000 0.000 0.000
As1 0.500 0.000 0.500
As2 0.500 0.500 0.000
Rh1 0.000 0.500 0.500
```

Computed properties:
Formation energy from the elements, eV/atom: -0.676

***

First-principles (SCAN) data for a PBEsol-optimized structure of TaAsRhSe2, as listed in Alexandria via LeMat-Bulk.

CIF file:
```
data_TaAsRhSe2
_cell_length_a 4.860
_cell_length_b 4.860
_cell_length_c 4.938
_cell_angle_alpha 90.00
_cell_angle_beta 90.00
_cell_angle_gamma 90.00
_space_group_name_H-M_alt 'P 4/m m m'
_space_group_IT_number 123
_space_group_name_Hall '-P 4 2'
loop_
_atom_site_label
_atom_site_fract_x
_atom_site_fract_y
_atom_site_fract_z
Ta1 0.000 0.000 0.000
As1 0.000 0.000 0.500
Rh1 0.500 0.500 0.500
Se1 0.000 0.500 0.000
```

Computed properties:
Energy relative to the elements, uncorrected, eV/f.u.: 3.289

***

First-principles (SCAN) data for a PBEsol-optimized structure of TlAsRhSe2, as listed in Alexandria via LeMat-Bulk.

CIF file:
```
data_TlAsRhSe2
_cell_length_a 5.188
_cell_length_b 5.188
_cell_length_c 5.135
_cell_angle_alpha 90.00
_cell_angle_beta 90.00
_cell_angle_gamma 90.00
_space_group_name_H-M_alt 'P 4/m m m'
_space_group_IT_number 123
_space_group_name_Hall '-P 4 2'
loop_
_atom_site_label
_atom_site_fract_x
_atom_site_fract_y
_atom_site_fract_z
Tl1 0.000 0.000 0.000
As1 0.000 0.000 0.500
Rh1 0.500 0.500 0.500
Se1 0.000 0.500 0.000
```

Computed properties:
Energy relative to the elements, uncorrected, eV/f.u.: 7.160

***

First-principles (SCAN) data for a PBEsol-optimized structure of SiAsRh3, as listed in Alexandria via LeMat-Bulk.

CIF file:
```
data_SiAsRh3
_cell_length_a 4.472
_cell_length_b 4.472
_cell_length_c 4.472
_cell_angle_alpha 90.00
_cell_angle_beta 90.00
_cell_angle_gamma 90.00
_space_group_name_H-M_alt 'P m -3 m'
_space_group_IT_number 221
_space_group_name_Hall '-P 4 2 3'
loop_
_atom_site_label
_atom_site_fract_x
_atom_site_fract_y
_atom_site_fract_z
Si1 0.000 0.000 0.000
As1 0.500 0.500 0.500
Rh1 0.000 0.500 0.500
```

Computed properties:
Energy relative to the elements, uncorrected, eV/f.u.: 3.317

***

First-principles (SCAN) data for a PBEsol-optimized structure of SiAs2Rh, as listed in Alexandria via LeMat-Bulk.

CIF file:
```
data_SiAs2Rh
_cell_length_a 3.824
_cell_length_b 3.824
_cell_length_c 4.353
_cell_angle_alpha 90.00
_cell_angle_beta 90.00
_cell_angle_gamma 90.00
_space_group_name_H-M_alt 'P 4/m m m'
_space_group_IT_number 123
_space_group_name_Hall '-P 4 2'
loop_
_atom_site_label
_atom_site_fract_x
_atom_site_fract_y
_atom_site_fract_z
Si1 0.000 0.000 0.000
As1 0.000 0.500 0.500
Rh1 0.500 0.500 0.000
```

Computed properties:
Energy relative to the elements, uncorrected, eV/f.u.: 1.208

***

no.,V (A^3/atom)
1,19.2
2,15.3
3,16.2
4,17.0
5,23.3
6,27.6
7,17.9
8,15.9